(one)
4
Lattice="-2.262 2.262 4.032 2.262 -2.262 4.032 2.262 2.262 -4.032" Properties=species:S:1:pos:R:3 comment="PBE-GGA MgCdAs2, relaxed" total_magnetization_mub_per_atom=0.000 pbc="T T T"
Mg 0.000 0.000 0.000
Cd 0.000 0.000 4.032
As 2.262 0.000 2.016
As 0.000 2.262 2.016

=====

(two)
4
Lattice="4.530 0.000 0.000 0.000 4.530 0.000 0.000 0.000 3.993" Properties=species:S:1:pos:R:3 comment="PBE-GGA MgCdAs2, relaxed" total_magnetization_mub_per_atom=0.000 pbc="T T T"
Mg 0.000 0.000 0.000
Cd 2.265 2.265 0.000
As 0.000 2.265 1.997
As 2.265 0.000 1.997

=====

Energies in meV/atom, measured from the most stable structure: (one) 8; (two) 0.